{"formula": "Rb4Sm3HfO8", "functional": "PBE", "state": "optimized geometry", "lattice_angstrom": [[3.539, 2.043, 6.586], [-3.539, 2.043, 6.586], [0.000, -4.086, 6.586]], "species": ["Rb", "Rb", "Rb", "Rb", "Sm", "Sm", "Sm", "Hf", "O", "O", "O", "O", "O", "O", "O", "O"], "fractional_positions": [[0.000, 0.000, 0.000], [0.000, 0.500, 0.500], [0.500, 0.000, 0.500], [0.500, 0.500, 0.000], [0.000, 0.000, 0.500], [0.000, 0.500, 0.000], [0.500, 0.000, 0.000], [0.500, 0.500, 0.500], [0.225, 0.225, 0.225], [0.255, 0.708, 0.708], [0.292, 0.292, 0.745], [0.292, 0.745, 0.292], [0.708, 0.255, 0.708], [0.708, 0.708, 0.255], [0.745, 0.292, 0.292], [0.775, 0.775, 0.775]], "sg": "R-3m, No. 166", "raw_formation_energy_mev_per_atom": -2541}



{"formula": "RbSrHfO4", "functional": "PBE", "state": "optimized geometry", "lattice_angstrom": [[2.935, -6.704, 0.000], [2.935, 6.704, 0.000], [0.000, 0.000, 5.923]], "species": ["Rb", "Rb", "Sr", "Sr", "Hf", "Hf", "O", "O", "O", "O", "O", "O", "O", "O"], "fractional_positions": [[0.093, 0.907, 0.750], [0.907, 0.093, 0.250], [0.392, 0.608, 0.750], [0.608, 0.392, 0.250], [0.263, 0.737, 0.250], [0.737, 0.263, 0.750], [0.000, 0.500, 0.000], [0.000, 0.500, 0.500], [0.108, 0.892, 0.250], [0.417, 0.583, 0.250], [0.500, 0.000, 0.000], [0.500, 0.000, 0.500], [0.583, 0.417, 0.750], [0.892, 0.108, 0.750]], "sg": "Cmcm, No. 63", "raw_formation_energy_mev_per_atom": -2547}



{"formula": "Rb2SrHf3O8", "functional": "PBE", "state": "optimized geometry", "lattice_angstrom": [[3.287, 1.898, 6.597], [-3.287, 1.898, 6.597], [0.000, -3.796, 6.597]], "species": ["Rb", "Rb", "Sr", "Hf", "Hf", "Hf", "O", "O", "O", "O", "O", "O", "O", "O"], "fractional_positions": [[0.000, 0.000, 0.000], [0.367, 0.367, 0.367], [0.600, 0.600, 0.600], [0.495, 0.998, 0.998], [0.998, 0.495, 0.998], [0.998, 0.998, 0.495], [0.181, 0.740, 0.740], [0.222, 0.222, 0.222], [0.262, 0.262, 0.818], [0.262, 0.818, 0.262], [0.740, 0.181, 0.740], [0.740, 0.740, 0.181], [0.775, 0.775, 0.775], [0.818, 0.262, 0.262]], "sg": "R3m, No. 160", "raw_formation_energy_mev_per_atom": -2922}



{"formula": "Rb2HfTaO6", "functional": "PBE", "state": "optimized geometry", "lattice_angstrom": [[3.045, 1.758, 9.909], [-3.045, 1.758, 9.909], [0.000, -3.516, 9.909]], "species": ["Rb", "Rb", "Rb", "Rb", "Hf", "Hf", "Ta", "Ta", "O", "O", "O", "O", "O", "O", "O", "O", "O", "O", "O", "O"], "fractional_positions": [[0.131, 0.131, 0.131], [0.280, 0.280, 0.280], [0.720, 0.720, 0.720], [0.869, 0.869, 0.869], [0.401, 0.401, 0.401], [0.599, 0.599, 0.599], [0.000, 0.000, 0.000], [0.500, 0.500, 0.500], [0.171, 0.598, 0.598], [0.198, 0.198, 0.718], [0.198, 0.718, 0.198], [0.282, 0.802, 0.802], [0.402, 0.402, 0.829], [0.402, 0.829, 0.402], [0.598, 0.171, 0.598], [0.598, 0.598, 0.171], [0.718, 0.198, 0.198], [0.802, 0.282, 0.802], [0.802, 0.802, 0.282], [0.829, 0.402, 0.402]], "sg": "R-3m, No. 166", "raw_formation_energy_mev_per_atom": -2500}



{"formula": "Rb2HfTa3O12", "functional": "PBE", "state": "optimized geometry", "lattice_angstrom": [[3.774, 2.179, 6.185], [-3.774, 2.179, 6.185], [0.000, -4.358, 6.185]], "species": ["Rb", "Rb", "Hf", "Ta", "Ta", "Ta", "O", "O", "O", "O", "O", "O", "O", "O", "O", "O", "O", "O"], "fractional_positions": [[0.125, 0.125, 0.125], [0.875, 0.875, 0.875], [0.500, 0.500, 0.500], [0.000, 0.500, 0.500], [0.500, 0.000, 0.500], [0.500, 0.500, 0.000], [0.175, 0.568, 0.568], [0.190, 0.190, 0.565], [0.190, 0.565, 0.190], [0.432, 0.432, 0.825], [0.432, 0.825, 0.432], [0.435, 0.810, 0.810], [0.565, 0.190, 0.190], [0.568, 0.175, 0.568], [0.568, 0.568, 0.175], [0.810, 0.435, 0.810], [0.810, 0.810, 0.435], [0.825, 0.432, 0.432]], "sg": "R-3m, No. 166", "raw_formation_energy_mev_per_atom": -2460}



{"formula": "RbHfTcO6", "functional": "PBE", "state": "optimized geometry", "lattice_angstrom": [[5.409, 0.000, 0.000], [-2.704, 4.684, 0.000], [0.000, 0.000, 6.269]], "species": ["Rb", "Hf", "Tc", "O", "O", "O", "O", "O", "O"], "fractional_positions": [[0.000, 0.000, 0.000], [0.333, 0.667, 0.500], [0.667, 0.333, 0.500], [0.416, 0.024, 0.679], [0.416, 0.393, 0.321], [0.607, 0.024, 0.321], [0.607, 0.584, 0.679], [0.976, 0.393, 0.679], [0.976, 0.584, 0.321]], "sg": "P312, No. 149", "raw_formation_energy_mev_per_atom": -2064}



{"formula": "Rb2HfTeO6", "functional": "PBE", "state": "optimized geometry", "lattice_angstrom": [[3.025, 1.746, 9.747], [-3.025, 1.746, 9.747], [0.000, -3.493, 9.747]], "species": ["Rb", "Rb", "Rb", "Rb", "Hf", "Hf", "Te", "Te", "O", "O", "O", "O", "O", "O", "O", "O", "O", "O", "O", "O"], "fractional_positions": [[0.133, 0.133, 0.133], [0.276, 0.276, 0.276], [0.724, 0.724, 0.724], [0.867, 0.867, 0.867], [0.402, 0.402, 0.402], [0.598, 0.598, 0.598], [0.000, 0.000, 0.000], [0.500, 0.500, 0.500], [0.172, 0.599, 0.599], [0.195, 0.195, 0.722], [0.195, 0.722, 0.195], [0.278, 0.805, 0.805], [0.401, 0.401, 0.828], [0.401, 0.828, 0.401], [0.599, 0.172, 0.599], [0.599, 0.599, 0.172], [0.722, 0.195, 0.195], [0.805, 0.278, 0.805], [0.805, 0.805, 0.278], [0.828, 0.401, 0.401]], "sg": "R-3m, No. 166", "raw_formation_energy_mev_per_atom": -1993}



{"formula": "Rb3HfTe2O9", "functional": "PBE", "state": "optimized geometry", "lattice_angstrom": [[5.836, 0.000, 0.000], [-2.918, 5.054, 0.000], [0.000, 0.000, 7.140]], "species": ["Rb", "Rb", "Rb", "Hf", "Te", "Te", "O", "O", "O", "O", "O", "O", "O", "O", "O"], "fractional_positions": [[0.000, 0.000, 0.000], [0.333, 0.667, 0.671], [0.667, 0.333, 0.329], [0.000, 0.000, 0.500], [0.333, 0.667, 0.173], [0.667, 0.333, 0.827], [0.000, 0.500, 0.000], [0.172, 0.343, 0.331], [0.172, 0.828, 0.331], [0.343, 0.172, 0.669], [0.500, 0.000, 0.000], [0.500, 0.500, 0.000], [0.657, 0.828, 0.331], [0.828, 0.172, 0.669], [0.828, 0.657, 0.669]], "sg": "P-3m1, No. 164", "raw_formation_energy_mev_per_atom": -1684}



{"formula": "Rb2HfTe3O12", "functional": "PBE", "state": "optimized geometry", "lattice_angstrom": [[3.659, 2.113, 6.070], [-3.659, 2.113, 6.070], [0.000, -4.225, 6.070]], "species": ["Rb", "Rb", "Hf", "Te", "Te", "Te", "O", "O", "O", "O", "O", "O", "O", "O", "O", "O", "O", "O"], "fractional_positions": [[0.127, 0.127, 0.127], [0.873, 0.873, 0.873], [0.500, 0.500, 0.500], [0.000, 0.500, 0.500], [0.500, 0.000, 0.500], [0.500, 0.500, 0.000], [0.168, 0.568, 0.568], [0.178, 0.178, 0.575], [0.178, 0.575, 0.178], [0.425, 0.822, 0.822], [0.432, 0.432, 0.832], [0.432, 0.832, 0.432], [0.568, 0.168, 0.568], [0.568, 0.568, 0.168], [0.575, 0.178, 0.178], [0.822, 0.425, 0.822], [0.822, 0.822, 0.425], [0.832, 0.432, 0.432]], "sg": "R-3m, No. 166", "raw_formation_energy_mev_per_atom": -1622}



{"formula": "RbHfTeO6", "functional": "PBE", "state": "optimized geometry", "lattice_angstrom": [[5.527, 0.000, 0.000], [-2.764, 4.787, 0.000], [0.000, 0.000, 12.414]], "species": ["Rb", "Rb", "Hf", "Hf", "Te", "Te", "O", "O", "O", "O", "O", "O", "O", "O", "O", "O", "O", "O"], "fractional_positions": [[0.000, 0.000, 0.000], [0.000, 0.000, 0.500], [0.333, 0.667, 0.250], [0.667, 0.333, 0.750], [0.333, 0.667, 0.750], [0.667, 0.333, 0.250], [0.019, 0.405, 0.661], [0.019, 0.614, 0.839], [0.386, 0.405, 0.839], [0.386, 0.981, 0.661], [0.405, 0.019, 0.161], [0.405, 0.386, 0.339], [0.595, 0.614, 0.661], [0.595, 0.981, 0.839], [0.614, 0.019, 0.339], [0.614, 0.595, 0.161], [0.981, 0.386, 0.161], [0.981, 0.595, 0.339]], "sg": "P-31c, No. 163", "raw_formation_energy_mev_per_atom": -1824}



{"formula": "RbHf2Ti2O7", "functional": "PBE", "state": "optimized geometry", "lattice_angstrom": [[-2.089, 2.089, 8.755], [2.089, -2.089, 8.755], [2.089, 2.089, -8.755]], "species": ["Rb", "Hf", "Hf", "Ti", "Ti", "O", "O", "O", "O", "O", "O", "O"], "fractional_positions": [[0.000, 0.000, 0.000], [0.385, 0.385, 0.000], [0.615, 0.615, 0.000], [0.250, 0.750, 0.500], [0.750, 0.250, 0.500], [0.130, 0.630, 0.500], [0.255, 0.255, 0.000], [0.370, 0.870, 0.500], [0.500, 0.500, 0.000], [0.630, 0.130, 0.500], [0.745, 0.745, 0.000], [0.870, 0.370, 0.500]], "sg": "I4/mmm, No. 139", "raw_formation_energy_mev_per_atom": -2948}



{"formula": "RbHf2UO8", "functional": "PBE", "state": "optimized geometry", "lattice_angstrom": [[5.131, 0.000, 0.000], [0.000, 6.989, 0.000], [-0.212, 0.000, 5.132]], "species": ["Rb", "Hf", "Hf", "U", "O", "O", "O", "O", "O", "O", "O", "O"], "fractional_positions": [[0.000, 0.000, 0.000], [0.500, 0.267, 0.500], [0.500, 0.733, 0.500], [0.000, 0.500, 0.000], [0.210, 0.305, 0.208], [0.210, 0.695, 0.208], [0.312, 0.500, 0.686], [0.356, 0.000, 0.641], [0.644, 0.000, 0.359], [0.688, 0.500, 0.314], [0.790, 0.305, 0.792], [0.790, 0.695, 0.792]], "sg": "P2/m, No. 10", "raw_formation_energy_mev_per_atom": -2811}



{"formula": "Rb2Hf3UO12", "functional": "PBE", "state": "optimized geometry", "lattice_angstrom": [[3.850, 2.223, 6.399], [-3.850, 2.223, 6.399], [0.000, -4.445, 6.399]], "species": ["Rb", "Rb", "Hf", "Hf", "Hf", "U", "O", "O", "O", "O", "O", "O", "O", "O", "O", "O", "O", "O"], "fractional_positions": [[0.118, 0.118, 0.118], [0.882, 0.882, 0.882], [0.000, 0.500, 0.500], [0.500, 0.000, 0.500], [0.500, 0.500, 0.000], [0.500, 0.500, 0.500], [0.183, 0.183, 0.566], [0.183, 0.566, 0.183], [0.187, 0.565, 0.565], [0.434, 0.817, 0.817], [0.435, 0.435, 0.813], [0.435, 0.813, 0.435], [0.565, 0.187, 0.565], [0.565, 0.565, 0.187], [0.566, 0.183, 0.183], [0.813, 0.435, 0.435], [0.817, 0.434, 0.817], [0.817, 0.817, 0.434]], "sg": "R-3m, No. 166", "raw_formation_energy_mev_per_atom": -2541}